Model i:
Material: Li4CdHg2
Method: DFT, PBE
State: optimized geometry

Cell lengths 4.706, 4.706, 7.572 Å; angles 71.89, 71.89, 60.00 degrees
Positions (direct):
1 Li 0.866 0.866 0.403
2 Li 0.134 0.134 0.597
3 Li 0.597 0.597 0.208
4 Li 0.403 0.403 0.792
5 Cd 0.000 0.000 0.000
6 Hg 0.738 0.738 0.786
7 Hg 0.262 0.262 0.214

Summary:
calculated volume = 135.5 Å³/f.u.
density = 6.63 g/cm3

Model ii:
Material: Li4CdHg2
Method: DFT, PBE
State: optimized geometry

Cell lengths 7.254, 5.289, 7.814 Å; angles 90.00, 115.13, 90.00 degrees
Positions (direct):
1 Li 0.580 0.498 0.209
2 Li 0.054 0.750 0.839
3 Li 0.946 0.250 0.161
4 Li 0.580 0.002 0.209
5 Li 0.000 0.250 0.574
6 Li 0.420 0.998 0.791
7 Li 0.420 0.502 0.791
8 Li 0.000 0.750 0.426
9 Cd 0.242 0.750 0.231
10 Cd 0.758 0.250 0.769
11 Hg 0.782 0.750 0.024
12 Hg 0.218 0.250 0.976
13 Hg 0.322 0.250 0.454
14 Hg 0.678 0.750 0.546

Summary:
calculated volume = 135.7 Å³/f.u.
density = 6.62 g/cm3

Most stable one: model i, least stable one: model ii.

Model i:
Material: Li2Cd5Hg3
Method: DFT, PBE
State: optimized geometry

Cell lengths 5.732, 9.748, 9.748 Å; angles 96.48, 72.90, 72.90 degrees
Positions (direct):
1 Li 0.113 0.736 0.037
2 Li 0.887 0.264 0.963
3 Li 0.613 0.037 0.736
4 Li 0.387 0.963 0.264
5 Cd 0.250 0.500 0.500
6 Cd 0.750 0.500 0.500
7 Cd 0.498 0.752 0.752
8 Cd 0.002 0.248 0.248
9 Cd 0.502 0.248 0.248
10 Cd 0.998 0.752 0.752
11 Cd 0.132 0.529 0.207
12 Cd 0.868 0.471 0.793
13 Cd 0.632 0.207 0.529
14 Cd 0.368 0.793 0.471
15 Hg 0.250 0.000 0.000
16 Hg 0.750 0.000 0.000
17 Hg 0.380 0.360 0.879
18 Hg 0.620 0.640 0.121
19 Hg 0.880 0.879 0.360
20 Hg 0.120 0.121 0.640

Summary:
calculated volume = 242.8 Å³/f.u.
density = 8.05 g/cm3

Model ii:
Material: Li2Cd5Hg3
Method: DFT, PBE
State: optimized geometry

Cell lengths 5.901, 12.215, 12.215 Å; angles 36.56, 60.94, 60.94 degrees
Positions (direct):
1 Li 0.199 0.595 0.956
2 Li 0.801 0.405 0.044
3 Li 0.699 0.956 0.595
4 Li 0.301 0.044 0.405
5 Cd 0.250 0.532 0.468
6 Cd 0.750 0.468 0.532
7 Cd 0.683 0.657 0.662
8 Cd 0.817 0.338 0.343
9 Cd 0.317 0.343 0.338
10 Cd 0.183 0.662 0.657
11 Cd 0.908 0.707 0.129
12 Cd 0.092 0.293 0.871
13 Cd 0.408 0.129 0.707
14 Cd 0.592 0.871 0.293
15 Hg 0.250 0.894 0.106
16 Hg 0.750 0.106 0.894
17 Hg 0.431 0.294 0.023
18 Hg 0.569 0.706 0.977
19 Hg 0.931 0.023 0.294
20 Hg 0.069 0.977 0.706

Summary:
calculated volume = 225.3 Å³/f.u.
density = 8.68 g/cm3

Most stable one: model ii, least stable one: model i.

Model i:
Material: RbLiCd2Hg
Method: DFT, PBE
State: optimized geometry

Cell lengths 5.564, 5.564, 5.412 Å; angles 90.00, 90.00, 90.00 degrees
Positions (direct):
1 Li 0.000 0.000 0.500
2 Hg 0.000 0.000 0.000
3 Rb 0.500 0.500 0.500
4 Cd 0.000 0.500 0.000
5 Cd 0.500 0.000 0.000

Summary:
calculated volume = 167.6 Å³/f.u.
density = 5.13 g/cm3

Model ii:
Material: RbLiCd2Hg
Method: DFT, PBE
State: optimized geometry

Cell lengths 5.377, 5.377, 5.362 Å; angles 90.00, 90.00, 90.00 degrees
Positions (direct):
1 Li 0.000 0.000 0.000
2 Hg 0.000 0.000 0.500
3 Rb 0.500 0.500 0.500
4 Cd 0.000 0.500 0.000
5 Cd 0.500 0.000 0.000

Summary:
calculated volume = 155.1 Å³/f.u.
density = 5.55 g/cm3

Most stable one: model ii, least stable one: model i.

Model i:
Material: LiCd2SnHg
Method: DFT, PBE
State: optimized geometry

Cell lengths 5.298, 5.298, 5.753 Å; angles 90.00, 90.00, 90.00 degrees
Positions (direct):
1 Cd 0.000 0.500 0.000
2 Cd 0.500 0.000 0.000
3 Li 0.500 0.500 0.500
4 Hg 0.000 0.000 0.000
5 Sn 0.000 0.000 0.500

Summary:
calculated volume = 161.5 Å³/f.u.
density = 5.67 g/cm3

Model ii:
Material: LiCd2SnHg
Method: DFT, PBE
State: optimized geometry

Cell lengths 4.917, 7.572, 6.639 Å; angles 78.85, 90.00, 90.00 degrees
Positions (direct):
1 Li 0.750 0.315 0.552
2 Li 0.250 0.685 0.448
3 Cd 0.750 0.939 0.866
4 Cd 0.250 0.061 0.134
5 Cd 0.250 0.041 0.603
6 Cd 0.750 0.959 0.397
7 Sn 0.250 0.689 0.952
8 Sn 0.750 0.311 0.048
9 Hg 0.750 0.625 0.252
10 Hg 0.250 0.375 0.748

Summary:
calculated volume = 121.2 Å³/f.u.
density = 7.55 g/cm3

Most stable one: model ii, least stable one: model i.